# Tc2GeO8, optimized geometry, DFT PBE-GGA
data_Tc2GeO8
_space_group_name_H-M_alt 'C 1 2/m 1'
_space_group_IT_number 12
_cell_length_a 9.6827
_cell_length_b 8.0361
_cell_length_c 5.3629
_cell_angle_alpha 90.00
_cell_angle_beta 97.39
_cell_angle_gamma 90.00
loop_
_space_group_symop_operation_xyz
'x,y,z'
'-x,-y,-z'
'-x,y,-z'
'x,-y,z'
'x+1/2,y+1/2,z'
'-x+1/2,-y+1/2,-z'
'-x+1/2,y+1/2,-z'
'x+1/2,-y+1/2,z'
loop_
_atom_site_label
_atom_site_fract_x
_atom_site_fract_y
_atom_site_fract_z
Tc1 0.2114 0.0000 0.1479
Ge1 0.0000 0.0000 0.5000
O1 0.1131 0.5000 0.7628
O2 0.1259 0.1631 0.2920
O3 0.1671 0.0000 0.8177
# - magnetization (μB per cell) = 0.0
# - DFT total energy (eV per formula unit) = -78.681
# - ΔE_f (raw) (kcal/mol of atoms) = -28.7
# - crystal system = monoclinic

# TcGeO2, optimized geometry, DFT PBE-GGA
data_TcGeO2
_space_group_name_H-M_alt 'I -4 2 d'
_space_group_IT_number 122
_space_group_name_Hall 'I -4 2bw'
_cell_length_a 4.4362
_cell_length_b 4.4362
_cell_length_c 11.6453
_cell_angle_alpha 90.00
_cell_angle_beta 90.00
_cell_angle_gamma 90.00
loop_
_atom_site_label
_atom_site_fract_x
_atom_site_fract_y
_atom_site_fract_z
Tc1 0.0000 0.0000 0.0000
Ge1 0.0000 0.0000 0.5000
O1 0.1665 0.2500 0.1250
# - magnetization (μB per cell) = 0.0
# - DFT total energy (eV per formula unit) = -26.335
# - ΔE_f (raw) (kcal/mol of atoms) = -8.3
# - crystal system = tetragonal

# TcGeO3, optimized geometry, DFT PBE-GGA
data_TcGeO3
_space_group_name_H-M_alt 'P m -3 m'
_space_group_IT_number 221
_space_group_name_Hall '-P 4 2 3'
_cell_length_a 3.8961
_cell_length_b 3.8961
_cell_length_c 3.8961
_cell_angle_alpha 90.00
_cell_angle_beta 90.00
_cell_angle_gamma 90.00
loop_
_atom_site_label
_atom_site_fract_x
_atom_site_fract_y
_atom_site_fract_z
Tc1 0.0000 0.0000 0.0000
Ge1 0.5000 0.5000 0.5000
O1 0.0000 0.0000 0.5000
# - magnetization (μB per cell) = 0.0
# - DFT total energy (eV per formula unit) = -34.149
# - ΔE_f (raw) (kcal/mol of atoms) = -19.8
# - crystal system = cubic